Material: BeCo2Si
Method: DFT, PBE-GGA
State: optimized geometry

Cell lengths 4.574, 4.574, 4.574 Å; angles 145.32, 132.49, 60.15 degrees
Fractional coordinates of all 4 atoms:
Be 0.243 0.743 0.500
Si 0.500 0.500 0.000
Co 0.010 0.010 0.000
Co 0.747 0.247 0.500

Calculated values
**Energy above the lowest structure with this stoichiometry**: 260 meV per atom
**Formation energy (no corrections)**: -0.338 eV per atom
**E_tot**: -24.711 eV/f.u.
**D(E_F)**: 3.31 states/eV/cell
**Spin magnetization**: 0.992 μB per cell
**Space-group type**: Imm2, No. 44

=====

Material: SnSb2TeP
Method: DFT, PBE-GGA
State: optimized geometry

Cell lengths 5.192, 5.192, 5.394 Å; angles 90.00, 90.00, 90.00 degrees
Fractional coordinates of all 5 atoms:
Sb 0.000 0.500 0.000
Sb 0.500 0.000 0.000
Te 0.000 0.000 0.500
Sn 0.500 0.500 0.500
P 0.000 0.000 0.000

Calculated values
**Energy above the lowest structure with this stoichiometry**: 0 meV per atom
**Formation energy (no corrections)**: 0.447 eV per atom
**E_tot**: -18.562 eV/f.u.
**D(E_F)**: 5.47 states/eV/cell
**Spin magnetization**: 0.000 μB per cell
**Space-group type**: P4/mmm, No. 123

=====

Material: Cs2CrAs2S6
Method: DFT, PBE-GGA
State: optimized geometry

Cell lengths 7.070, 7.074, 7.964 Å; angles 116.21, 90.00, 119.98 degrees
Fractional coordinates of all 11 atoms:
Cs 0.735 0.470 0.206
Cs 0.265 0.530 0.794
Cr 0.500 0.000 0.500
As 0.930 0.860 0.790
As 0.070 0.140 0.210
S 0.732 0.464 0.736
S 0.268 0.994 0.262
S 0.274 0.006 0.738
S 0.732 0.006 0.738
S 0.726 0.994 0.262
S 0.268 0.536 0.264

Calculated values
**Formation energy (no corrections)**: -0.460 eV per atom
**E_tot**: -50.451 eV/f.u.
**D(E_F)**: 2.59 states/eV/cell
**Spin magnetization**: 3.543 μB per cell
**Space-group type**: C2/m, No. 12

=====

Material: YHRhPb2
Method: DFT, PBE-GGA
State: optimized geometry

Cell lengths 5.585, 3.421, 5.585 Å; angles 90.00, 90.00, 90.00 degrees
Fractional coordinates of all 5 atoms:
Pb 0.000 0.000 0.500
Pb 0.500 0.000 0.000
Y 0.500 0.500 0.500
Rh 0.000 0.000 0.000
H 0.000 0.500 0.000

Calculated values
**E_tot**: -24.908 eV/f.u.
**D(E_F)**: 2.75 states/eV/cell
**Spin magnetization**: 0.000 μB per cell
**Space-group type**: P4/mmm, No. 123